1.
4
Lattice="3.267 0.000 0.000 0.000 3.267 0.000 0.000 0.000 8.901" Properties=species:S:1:pos:R:3 comment="ZnTeP2 (GGA-PBE, relaxed)" de_polymorph_kj_per_mol_fu=54 e_form_raw_ev_per_atom=0.202 pbc="T T T"
P 1.634 1.634 0.296
P 0.000 0.000 1.020
Te 0.000 0.000 5.158
Zn 1.634 1.634 6.878


2.
4
Lattice="3.775 0.000 0.000 0.000 4.505 0.012 0.000 0.987 4.971" Properties=species:S:1:pos:R:3 comment="ZnTeP2 (GGA-PBE, relaxed)" de_polymorph_kj_per_mol_fu=10 e_form_raw_ev_per_atom=0.089 pbc="T T T"
Te 1.888 1.373 1.246
P 0.000 1.123 4.537
Zn 1.888 4.119 3.737
P 0.000 2.609 2.926


3.
4
Lattice="6.881 0.051 0.087 5.750 3.780 0.087 0.360 0.109 4.042" Properties=species:S:1:pos:R:3 comment="ZnTeP2 (GGA-PBE, relaxed)" de_polymorph_kj_per_mol_fu=30 e_form_raw_ev_per_atom=0.140 pbc="T T T"
P 10.117 3.069 3.907
Zn 3.797 1.152 1.058
Te 6.375 1.934 1.894
P 12.190 3.698 3.684


4.
4
Lattice="8.992 0.154 0.005 7.633 4.756 -0.005 -8.213 -2.794 2.373" Properties=species:S:1:pos:R:3 comment="ZnTeP2 (GGA-PBE, relaxed)" de_polymorph_kj_per_mol_fu=33 e_form_raw_ev_per_atom=0.148 pbc="T T T"
Te 9.964 2.943 0.000
Zn 3.365 2.060 1.184
P 5.340 0.142 1.189
P 14.682 4.336 0.000


5.
4
Lattice="4.607 -0.060 0.000 -0.906 4.518 0.000 0.000 0.000 3.666" Properties=species:S:1:pos:R:3 comment="ZnTeP2 (GGA-PBE, relaxed)" de_polymorph_kj_per_mol_fu=213 e_form_raw_ev_per_atom=0.614 pbc="T T T"
Te 2.304 -0.030 1.833
P 1.851 2.229 0.000
P 0.000 0.000 0.000
Zn -0.453 2.259 1.833


6.
4
Lattice="3.572 0.000 0.000 0.000 3.571 0.000 0.000 0.000 6.133" Properties=species:S:1:pos:R:3 comment="ZnTeP2 (GGA-PBE, relaxed)" de_polymorph_kj_per_mol_fu=139 e_form_raw_ev_per_atom=0.421 pbc="T T T"
Zn 1.786 1.786 4.600
P 0.000 0.000 5.680
Te 1.786 1.786 1.533
P 0.000 0.000 3.519


7.
4
Lattice="-0.648 -3.641 -0.071 2.787 -0.449 -2.390 3.827 -0.771 4.606" Properties=species:S:1:pos:R:3 comment="ZnTeP2 (GGA-PBE, relaxed)" de_polymorph_kj_per_mol_fu=39 e_form_raw_ev_per_atom=0.163 pbc="T T T"
Zn 3.781 -2.591 2.033
P 1.450 -2.121 -0.773
Te 2.122 -0.428 2.555
P 0.526 -0.106 0.633


8.
4
Lattice="6.487 -0.036 -0.022 5.374 3.633 -0.022 5.374 1.630 3.247" Properties=species:S:1:pos:R:3 comment="ZnTeP2 (GGA-PBE, relaxed)" de_polymorph_kj_per_mol_fu=67 e_form_raw_ev_per_atom=0.235 pbc="T T T"
P 0.167 0.051 0.031
Zn 12.926 3.920 2.402
Te 4.309 1.307 0.801
P 8.450 2.563 1.570


| no. | V (Å³/atom) |
| --- | --- |
| 1 | 23.8 |
| 2 | 21.1 |
| 3 | 26.0 |
| 4 | 24.7 |
| 5 | 19.0 |
| 6 | 19.6 |
| 7 | 20.6 |
| 8 | 19.4 |